1:
Crystalline Hf4In2C at its relaxed geometry. Source: Alexandria via LeMat-Bulk, functional GGA-PBE.

abc: 5.871 3.231 7.995
angles: 90.00 106.42 90.00
Positions (direct):
Hf 0.087 0.000 0.303
Hf 0.252 0.500 0.011
Hf 0.748 0.500 0.989
Hf 0.913 0.000 0.697
In 0.367 0.500 0.650
In 0.633 0.500 0.350
C 0.000 0.000 0.000

=====

2:
Crystalline Hf4In2C at its relaxed geometry. Source: Alexandria via LeMat-Bulk, functional GGA-PBE.

abc: 8.130 8.130 8.130
angles: 148.29 148.29 45.46
Positions (direct):
Hf 0.000 0.500 0.500
Hf 0.150 0.150 0.000
Hf 0.500 0.000 0.500
Hf 0.850 0.850 0.000
In 0.353 0.353 0.000
In 0.647 0.647 0.000
C 0.000 0.000 0.000

=====

The structure with the least stability is 1.

=====

1:
Crystalline HfIrC3 at its relaxed geometry. Source: Alexandria via LeMat-Bulk, functional GGA-PBE.

abc: 4.170 4.170 4.170
angles: 90.00 90.00 90.00
Positions (direct):
Hf 0.000 0.000 0.000
Ir 0.500 0.500 0.500
C 0.000 0.000 0.500
C 0.000 0.500 0.000
C 0.500 0.000 0.000

=====

2:
Crystalline HfIrC3 at its relaxed geometry. Source: Alexandria via LeMat-Bulk, functional GGA-PBE.

abc: 3.954 3.954 3.954
angles: 90.00 90.00 90.00
Positions (direct):
Hf 0.000 0.000 0.000
Ir 0.500 0.500 0.500
C 0.000 0.500 0.500
C 0.500 0.000 0.500
C 0.500 0.500 0.000

=====

The structure with the least stability is 1.

=====

1:
Crystalline HfIrC2 at its relaxed geometry. Source: Alexandria via LeMat-Bulk, functional GGA-PBE.

abc: 3.967 3.967 3.967
angles: 60.00 60.00 60.00
Positions (direct):
Hf 0.000 0.000 0.000
Ir 0.500 0.500 0.500
C 0.250 0.250 0.250
C 0.750 0.750 0.750

=====

2:
Crystalline HfIrC2 at its relaxed geometry. Source: Alexandria via LeMat-Bulk, functional GGA-PBE.

abc: 6.113 6.113 6.113
angles: 135.27 135.27 65.11
Positions (direct):
Hf 0.000 0.000 0.000
Hf 0.750 0.250 0.500
Ir 0.250 0.750 0.500
Ir 0.500 0.500 0.000
C 0.166 0.625 0.041
C 0.375 0.416 0.541
C 0.584 0.125 0.959
C 0.875 0.834 0.459

=====

The structure with the least stability is 1.

=====

1:
Crystalline La2HfIrC at its relaxed geometry. Source: Alexandria via LeMat-Bulk, functional GGA-PBE.

abc: 5.452 5.452 3.860
angles: 90.00 90.00 90.00
Positions (direct):
La 0.000 0.500 0.000
La 0.500 0.000 0.000
Hf 0.000 0.000 0.500
Ir 0.500 0.500 0.500
C 0.500 0.500 0.000

=====

2:
Crystalline La2HfIrC at its relaxed geometry. Source: Alexandria via LeMat-Bulk, functional GGA-PBE.

abc: 5.659 5.659 4.062
angles: 90.00 90.00 90.00
Positions (direct):
La 0.000 0.500 0.000
La 0.500 0.000 0.000
Hf 0.000 0.000 0.000
Ir 0.500 0.500 0.500
C 0.000 0.000 0.500

=====

The structure with the least stability is 2.

=====

1:
Crystalline Hf2TeIrC at its relaxed geometry. Source: Alexandria via LeMat-Bulk, functional GGA-PBE.

abc: 5.213 5.213 3.811
angles: 90.00 90.00 90.00
Positions (direct):
Hf 0.000 0.500 0.000
Hf 0.500 0.000 0.000
Te 0.000 0.000 0.500
Ir 0.500 0.500 0.000
C 0.500 0.500 0.500

=====

2:
Crystalline Hf2TeIrC at its relaxed geometry. Source: Alexandria via LeMat-Bulk, functional GGA-PBE.

abc: 4.404 4.404 4.605
angles: 90.00 90.00 90.00
Positions (direct):
Hf 0.000 0.500 0.000
Hf 0.500 0.000 0.000
Te 0.000 0.000 0.500
Ir 0.500 0.500 0.500
C 0.000 0.000 0.000

=====

The structure with the least stability is 1.

=====

1:
Crystalline KHfC3 at its relaxed geometry. Source: Alexandria via LeMat-Bulk, functional GGA-PBE.

abc: 4.421 4.421 4.421
angles: 90.00 90.00 90.00
Positions (direct):
K 0.000 0.000 0.000
Hf 0.500 0.500 0.500
C 0.000 0.500 0.500
C 0.500 0.000 0.500
C 0.500 0.500 0.000

=====

2:
Crystalline KHfC3 at its relaxed geometry. Source: Alexandria via LeMat-Bulk, functional GGA-PBE.

abc: 4.070 4.070 4.070
angles: 90.00 90.00 90.00
Positions (direct):
K 0.000 0.000 0.000
Hf 0.500 0.500 0.500
C 0.000 0.000 0.500
C 0.000 0.500 0.000
C 0.500 0.000 0.000

=====

The structure with the least stability is 2.

=====

1:
Crystalline KHfC2 at its relaxed geometry. Source: Alexandria via LeMat-Bulk, functional GGA-PBE.

abc: 7.341 7.341 7.341
angles: 135.25 135.25 65.15
Positions (direct):
K 0.000 0.000 0.000
K 0.750 0.250 0.500
Hf 0.250 0.750 0.500
Hf 0.500 0.500 0.000
C 0.291 0.625 0.166
C 0.375 0.541 0.666
C 0.459 0.125 0.834
C 0.875 0.709 0.334

=====

2:
Crystalline KHfC2 at its relaxed geometry. Source: Alexandria via LeMat-Bulk, functional GGA-PBE.

abc: 4.293 4.293 4.293
angles: 60.00 60.00 60.00
Positions (direct):
K 0.000 0.000 0.000
Hf 0.500 0.500 0.500
C 0.250 0.250 0.250
C 0.750 0.750 0.750

=====

The structure with the least stability is 2.

=====

1:
Crystalline K3HfC at its relaxed geometry. Source: Alexandria via LeMat-Bulk, functional GGA-PBE.

abc: 5.781 5.781 5.781
angles: 90.00 90.00 90.00
Positions (direct):
K 0.000 0.000 0.500
K 0.000 0.500 0.000
K 0.500 0.000 0.000
Hf 0.500 0.500 0.500
C 0.000 0.000 0.000

=====

2:
Crystalline K3HfC at its relaxed geometry. Source: Alexandria via LeMat-Bulk, functional GGA-PBE.

abc: 6.654 6.654 6.654
angles: 90.00 90.00 90.00
Positions (direct):
K 0.000 0.000 0.500
K 0.000 0.500 0.000
K 0.500 0.000 0.000
Hf 0.000 0.000 0.000
C 0.500 0.500 0.500

=====

The structure with the least stability is 2.

=====

1:
Crystalline La3HfC at its relaxed geometry. Source: Alexandria via LeMat-Bulk, functional GGA-PBE.

abc: 5.586 5.586 5.586
angles: 90.00 90.00 90.00
Positions (direct):
La 0.000 0.000 0.500
La 0.000 0.500 0.000
La 0.500 0.000 0.000
Hf 0.000 0.000 0.000
C 0.500 0.500 0.500

=====

2:
Crystalline La3HfC at its relaxed geometry. Source: Alexandria via LeMat-Bulk, functional GGA-PBE.

abc: 5.208 5.208 5.208
angles: 90.00 90.00 90.00
Positions (direct):
La 0.000 0.000 0.500
La 0.000 0.500 0.000
La 0.500 0.000 0.000
Hf 0.500 0.500 0.500
C 0.000 0.000 0.000

=====

The structure with the least stability is 1.

=====

1:
Crystalline La2Hf2C at its relaxed geometry. Source: Alexandria via LeMat-Bulk, functional GGA-PBE.

abc: 6.663 6.663 5.795
angles: 90.00 90.00 90.00
Positions (direct):
La 0.170 0.330 0.000
La 0.330 0.830 0.000
La 0.670 0.170 0.000
La 0.830 0.670 0.000
Hf 0.152 0.652 0.500
Hf 0.348 0.152 0.500
Hf 0.652 0.848 0.500
Hf 0.848 0.348 0.500
C 0.000 0.000 0.000
C 0.500 0.500 0.000

=====

2:
Crystalline La2Hf2C at its relaxed geometry. Source: Alexandria via LeMat-Bulk, functional GGA-PBE.

abc: 9.924 9.924 9.924
angles: 158.61 158.61 30.42
Positions (direct):
La 0.076 0.076 0.000
La 0.924 0.924 0.000
Hf 0.250 0.750 0.500
Hf 0.750 0.250 0.500
C 0.500 0.500 0.000

=====

The structure with the least stability is 1.

=====

1:
Crystalline LiHfC2 at its relaxed geometry. Source: Alexandria via LeMat-Bulk, functional GGA-PBE.

abc: 3.884 3.884 3.884
angles: 60.00 60.00 60.00
Positions (direct):
Li 0.000 0.000 0.000
Hf 0.500 0.500 0.500
C 0.250 0.250 0.250
C 0.750 0.750 0.750

=====

2:
Crystalline LiHfC2 at its relaxed geometry. Source: Alexandria via LeMat-Bulk, functional GGA-PBE.

abc: 6.677 6.677 6.677
angles: 148.08 148.08 45.76
Positions (direct):
Li 0.000 0.000 0.000
Li 0.750 0.250 0.500
Hf 0.250 0.750 0.500
Hf 0.500 0.500 0.000
C 0.375 0.222 0.347
C 0.778 0.125 0.153
C 0.875 0.028 0.653
C 0.972 0.625 0.847

=====

The structure with the least stability is 2.

=====

1:
Crystalline LiHfC3 at its relaxed geometry. Source: Alexandria via LeMat-Bulk, functional GGA-PBE.

abc: 4.322 4.322 4.322
angles: 90.00 90.00 90.00
Positions (direct):
Li 0.000 0.000 0.000
Hf 0.500 0.500 0.500
C 0.000 0.500 0.500
C 0.500 0.000 0.500
C 0.500 0.500 0.000

=====

2:
Crystalline LiHfC3 at its relaxed geometry. Source: Alexandria via LeMat-Bulk, functional GGA-PBE.

abc: 3.614 3.614 3.614
angles: 90.00 90.00 90.00
Positions (direct):
Li 0.000 0.000 0.000
Hf 0.500 0.500 0.500
C 0.000 0.000 0.500
C 0.000 0.500 0.000
C 0.500 0.000 0.000

=====

The structure with the least stability is 1.